# 1
# NaNd2Ho PBE relaxed
# Excess energy over the best structure of this formula in the dataset ... 29 meV per atom
# E_tot ... -3.73 eV per atom
# Energy of formation from the pure elements ... 127 meV/atom
data_NaNd2Ho
_space_group_name_H-M_alt 'R -3 m'
_space_group_IT_number 166
_space_group_name_Hall '-R 3 2"'
_cell_length_a 3.5669
_cell_length_b 3.5669
_cell_length_c 38.6394
_cell_angle_alpha 90.00
_cell_angle_beta 90.00
_cell_angle_gamma 120.00
loop_
_atom_site_label
_atom_site_fract_x
_atom_site_fract_y
_atom_site_fract_z
_atom_site_occupancy
Na1 0.0000 0.0000 0.0000 1
Nd1 0.0000 0.0000 0.0922 1
Ho1 0.0000 0.0000 0.5000 1

---

# 2
# NaPrPaSe4 PBE relaxed
# ΔE_f (raw) ... -1.509 eV/atom
# E_tot ... -5.73 eV per atom
data_NaPrPaSe4
_space_group_name_H-M_alt 'I m m a'
_space_group_IT_number 74
_space_group_name_Hall '-I 2b 2'
_cell_length_a 8.586
_cell_length_b 8.739
_cell_length_c 12.309
_cell_angle_alpha 90.00
_cell_angle_beta 90.00
_cell_angle_gamma 90.00
loop_
_atom_site_label
_atom_site_fract_x
_atom_site_fract_y
_atom_site_fract_z
_atom_site_occupancy
Na1 0.000 0.250 0.124 1
Pr1 0.000 0.000 0.500 1
Pa1 0.250 0.250 0.750 1
Se1 0.000 0.029 0.744 1
Se2 0.236 0.250 0.519 1

---

# 3
# RbReS4 PBE relaxed
# ΔE_f (raw) ... -0.332 eV/atom
# E_tot ... -5.32 eV per atom
data_RbReS4
_space_group_name_H-M_alt 'C 1 2/m 1'
_space_group_IT_number 12
_space_group_name_Hall '-C 2y'
_cell_length_a 14.926
_cell_length_b 7.186
_cell_length_c 6.204
_cell_angle_alpha 90.00
_cell_angle_beta 99.45
_cell_angle_gamma 90.00
loop_
_atom_site_label
_atom_site_fract_x
_atom_site_fract_y
_atom_site_fract_z
_atom_site_occupancy
Rb1 0.199 0.000 0.208 1
Re1 0.028 0.500 0.233 1
S1 0.000 0.245 0.000 1
S2 0.071 0.302 0.572 1
S3 0.183 0.500 0.238 1

---

# 4
# TaCuRhAu PBE relaxed
# E_tot ... -6.73 eV per atom
# Energy of formation from the pure elements ... -87 meV/atom
data_TaCuRhAu
_space_group_name_H-M_alt 'F -4 3 m'
_space_group_IT_number 216
_space_group_name_Hall 'F -4 2 3'
_cell_length_a 6.311
_cell_length_b 6.311
_cell_length_c 6.311
_cell_angle_alpha 90.00
_cell_angle_beta 90.00
_cell_angle_gamma 90.00
loop_
_atom_site_label
_atom_site_fract_x
_atom_site_fract_y
_atom_site_fract_z
_atom_site_occupancy
Ta1 0.000 0.000 0.000 1
Cu1 0.000 0.000 0.500 1
Rh1 0.250 0.250 0.250 1
Au1 0.250 0.250 0.750 1

---

# 5
# RbSiPS2 PBE relaxed
# Excess energy over the best structure of this formula in the dataset ... 1845 meV per atom
# ΔE_f (raw) ... 1.850 eV/atom
# E_tot ... -2.16 eV per atom
data_RbSiPS2
_space_group_name_H-M_alt 'P 4/m m m'
_space_group_IT_number 123
_space_group_name_Hall '-P 4 2'
_cell_length_a 5.669
_cell_length_b 5.669
_cell_length_c 5.521
_cell_angle_alpha 90.00
_cell_angle_beta 90.00
_cell_angle_gamma 90.00
loop_
_atom_site_label
_atom_site_fract_x
_atom_site_fract_y
_atom_site_fract_z
_atom_site_occupancy
Rb1 0.000 0.000 0.000 1
Si1 0.500 0.500 0.500 1
P1 0.000 0.000 0.500 1
S1 0.000 0.500 0.000 1

---

# 6
# SnHgBiPb PBE relaxed
# Excess energy over the best structure of this formula in the dataset ... 35 meV per atom
# E_tot ... -2.88 eV per atom
# Energy of formation from the pure elements ... 90 meV/atom
data_SnHgBiPb
_space_group_name_H-M_alt 'C 1 m 1'
_space_group_IT_number 8
_space_group_name_Hall 'C -2y'
_cell_length_a 7.802
_cell_length_b 4.568
_cell_length_c 7.693
_cell_angle_alpha 90.00
_cell_angle_beta 108.78
_cell_angle_gamma 90.00
loop_
_atom_site_label
_atom_site_fract_x
_atom_site_fract_y
_atom_site_fract_z
_atom_site_occupancy
Sn1 0.000 0.000 0.000 1
Hg1 0.336 0.500 0.501 1
Bi1 0.258 0.000 0.763 1
Pb1 0.427 0.000 0.272 1

---

# 7
# Cs2Rb5In PBE relaxed
# E_tot ... -1.09 eV per atom
# Energy of formation from the pure elements ... 71 meV/atom
data_Cs2Rb5In
_space_group_name_H-M_alt 'C 1 m 1'
_space_group_IT_number 8
_space_group_name_Hall 'C -2y'
_cell_length_a 12.859
_cell_length_b 12.859
_cell_length_c 11.144
_cell_angle_alpha 90.00
_cell_angle_beta 125.19
_cell_angle_gamma 90.00
loop_
_atom_site_label
_atom_site_fract_x
_atom_site_fract_y
_atom_site_fract_z
_atom_site_occupancy
Cs1 0.000 0.250 0.000 1
Rb1 0.033 0.242 0.566 1
Rb2 0.275 0.000 0.566 1
Rb3 0.291 0.500 0.566 1
Rb4 0.351 0.000 0.201 1
In1 0.153 0.000 0.806 1

---

# 8
# La4CoPb PBE relaxed
# Excess energy over the best structure of this formula in the dataset ... 0 meV per atom
# E_tot ... -5.40 eV per atom
# Energy of formation from the pure elements ... -314 meV/atom
data_La4CoPb
_space_group_name_H-M_alt 'C 1 2/m 1'
_space_group_IT_number 12
_space_group_name_Hall '-C 2y'
_cell_length_a 17.336
_cell_length_b 7.191
_cell_length_c 6.228
_cell_angle_alpha 90.00
_cell_angle_beta 109.09
_cell_angle_gamma 90.00
loop_
_atom_site_label
_atom_site_fract_x
_atom_site_fract_y
_atom_site_fract_z
_atom_site_occupancy
La1 0.000 0.244 0.000 1
La2 0.117 0.246 0.610 1
La3 0.197 0.500 0.201 1
Co1 0.032 0.500 0.342 1
Pb1 0.193 0.000 0.198 1

---

# 9
# Pr4GeBr2Cl PBE relaxed
# ΔE_f (raw) ... -1.200 eV/atom
# E_tot ... -4.82 eV per atom
data_Pr4GeBr2Cl
_space_group_name_H-M_alt 'P 1 2/m 1'
_space_group_IT_number 10
_space_group_name_Hall '-P 2y'
_cell_length_a 7.043
_cell_length_b 4.251
_cell_length_c 8.043
_cell_angle_alpha 90.00
_cell_angle_beta 108.64
_cell_angle_gamma 90.00
loop_
_atom_site_label
_atom_site_fract_x
_atom_site_fract_y
_atom_site_fract_z
_atom_site_occupancy
Pr1 0.228 0.000 0.205 1
Pr2 0.254 0.500 0.789 1
Ge1 0.500 0.000 0.000 1
Br1 0.000 0.000 0.500 1
Br2 0.500 0.500 0.500 1
Cl1 0.000 0.500 0.000 1

---

# 10
# CsTaI6 PBE relaxed
# Excess energy over the best structure of this formula in the dataset ... 14 meV per atom
# ΔE_f (raw) ... -0.712 eV/atom
# E_tot ... -3.46 eV per atom
data_CsTaI6
_space_group_name_H-M_alt 'C 1 2/m 1'
_space_group_IT_number 12
_space_group_name_Hall '-C 2y'
_cell_length_a 9.452
_cell_length_b 11.531
_cell_length_c 7.528
_cell_angle_alpha 90.00
_cell_angle_beta 109.01
_cell_angle_gamma 90.00
loop_
_atom_site_label
_atom_site_fract_x
_atom_site_fract_y
_atom_site_fract_z
_atom_site_occupancy
Cs1 0.000 0.000 0.000 1
Ta1 0.000 0.500 0.500 1
I1 0.103 0.330 0.772 1
I2 0.226 0.000 0.561 1

---

# 11
# TlTcNiS3 PBE relaxed
# ΔE_f (raw) ... -0.392 eV/atom
# E_tot ... -5.54 eV per atom
data_TlTcNiS3
_space_group_name_H-M_alt 'P 1 21/m 1'
_space_group_IT_number 11
_space_group_name_Hall '-P 2yb'
_cell_length_a 7.876
_cell_length_b 3.508
_cell_length_c 9.443
_cell_angle_alpha 90.00
_cell_angle_beta 112.30
_cell_angle_gamma 90.00
loop_
_atom_site_label
_atom_site_fract_x
_atom_site_fract_y
_atom_site_fract_z
_atom_site_occupancy
Tl1 0.008 0.250 0.215 1
Tc1 0.472 0.750 0.674 1
Ni1 0.470 0.250 0.890 1
S1 0.256 0.250 0.660 1
S2 0.337 0.250 0.067 1
S3 0.347 0.750 0.388 1

---

# 12
# BiB2Se PBE relaxed
# Excess energy over the best structure of this formula in the dataset ... 0 meV per atom
# ΔE_f (raw) ... 0.885 eV/atom
# E_tot ... -4.30 eV per atom
data_BiB2Se
_space_group_name_H-M_alt 'I -4 2 d'
_space_group_IT_number 122
_space_group_name_Hall 'I -4 2bw'
_cell_length_a 5.564
_cell_length_b 5.564
_cell_length_c 9.217
_cell_angle_alpha 90.00
_cell_angle_beta 90.00
_cell_angle_gamma 90.00
loop_
_atom_site_label
_atom_site_fract_x
_atom_site_fract_y
_atom_site_fract_z
_atom_site_occupancy
Bi1 0.000 0.000 0.000 1
B1 0.201 0.250 0.625 1
Se1 0.000 0.000 0.500 1